Compound: CoBiSCl2
Source: the Alexandria database
Functional: PBE
Structure: relaxed

Results
distance to the lowest polymorph of the same formula	0.0	meV/atom
uncorrected formation energy	-118	meV per atom

Cell lengths 4.558, 4.558, 4.743 Å; angles 90.00, 90.00, 90.00 degrees
Last column: magnetic moment on the atom in μB.
Element x y z (fractional)
1 S 0.000 0.000 0.500  0.03
2 Co 0.000 0.000 0.000  1.08
3 Bi 0.500 0.500 0.500  -0.15
4 Cl 0.000 0.500 0.000  0.01
5 Cl 0.500 0.000 0.000  0.01

Compound: CoBiSCl2
Source: the Alexandria database
Functional: PBE
Structure: relaxed

Results
distance to the lowest polymorph of the same formula	539.8	meV/atom
uncorrected formation energy	422	meV per atom

Cell lengths 5.361, 5.361, 5.431 Å; angles 90.00, 90.00, 90.00 degrees
Last column: magnetic moment on the atom in μB.
Element x y z (fractional)
1 S 0.000 0.000 0.500  -0.02
2 Co 0.500 0.500 0.500  2.16
3 Bi 0.000 0.000 0.000  0.00
4 Cl 0.000 0.500 0.000  0.00
5 Cl 0.500 0.000 0.000  0.00

Compound: CoSiBi2Cl
Source: the Alexandria database
Functional: PBE
Structure: relaxed

Results
uncorrected formation energy	916	meV per atom

Cell lengths 5.640, 4.018, 5.640 Å; angles 90.00, 90.00, 90.00 degrees
Last column: magnetic moment on the atom in μB.
Element x y z (fractional)
1 Si 0.500 0.500 0.500  0.01
2 Co 0.000 0.500 0.000  0.95
3 Bi 0.000 0.000 0.500  -0.02
4 Bi 0.500 0.000 0.000  -0.01
5 Cl 0.000 0.000 0.000  0.03

Compound: TlCoBiCl6
Source: the Alexandria database
Functional: PBE
Structure: relaxed

Results
uncorrected formation energy	-850	meV per atom

Cell lengths 6.785, 6.811, 7.044 Å; angles 89.88, 89.77, 60.12 degrees
Last column: magnetic moment on the atom in μB.
Element x y z (fractional)
1 Tl 0.000 0.999 0.000  0.01
2 Co 0.667 0.666 0.500  2.51
3 Bi 0.334 0.332 0.500  0.00
4 Cl 0.969 0.386 0.293  0.06
5 Cl 0.390 0.970 0.709  0.05
6 Cl 0.645 0.386 0.707  0.06
7 Cl 0.969 0.645 0.707  0.05
8 Cl 0.385 0.645 0.293  0.05
9 Cl 0.640 0.970 0.291  0.05

Compound: TlCo2BiCl8
Source: the Alexandria database
Functional: PBE
Structure: relaxed

Results
uncorrected formation energy	-753	meV per atom

Cell lengths 6.471, 6.471, 10.330 Å; angles 71.75, 71.75, 60.00 degrees
Last column: magnetic moment on the atom in μB.
Element x y z (fractional)
1 Tl 0.500 0.500 0.500  0.00
2 Co 0.251 0.251 0.246  2.40
3 Co 0.749 0.749 0.754  2.40
4 Bi 0.000 0.000 0.000  0.02
5 Cl 0.176 0.176 0.473  0.14
6 Cl 0.603 0.289 0.169  0.07
7 Cl 0.824 0.824 0.527  0.14
8 Cl 0.939 0.603 0.169  0.07
9 Cl 0.061 0.397 0.831  0.07
10 Cl 0.289 0.939 0.169  0.07
11 Cl 0.711 0.061 0.831  0.07
12 Cl 0.397 0.711 0.831  0.07

Compound: YCoBiCl2
Source: the Alexandria database
Functional: PBE
Structure: relaxed

Results
uncorrected formation energy	459	meV per atom

Cell lengths 5.266, 6.518, 5.266 Å; angles 90.00, 90.00, 90.00 degrees
Last column: magnetic moment on the atom in μB.
Element x y z (fractional)
1 Y 0.000 0.500 0.000  -0.36
2 Co 0.500 0.500 0.500  2.09
3 Bi 0.000 0.000 0.000  -0.03
4 Cl 0.000 0.000 0.500  -0.01
5 Cl 0.500 0.000 0.000  -0.01

Compound: CrBi2Cl2
Source: the Alexandria database
Functional: PBE
Structure: relaxed

Results
distance to the lowest polymorph of the same formula	593.2	meV/atom
uncorrected formation energy	484	meV per atom

Cell lengths 3.623, 3.623, 10.116 Å; angles 79.68, 79.68, 90.00 degrees
Last column: magnetic moment on the atom in μB.
Element x y z (fractional)
1 Cr 0.000 0.000 0.000  0.06
2 Bi 0.421 0.421 0.158  -0.01
3 Bi 0.579 0.579 0.842  -0.01
4 Cl 0.750 0.250 0.500  0.00
5 Cl 0.250 0.750 0.500  0.00

Compound: CrBi2Cl
Source: the Alexandria database
Functional: PBE
Structure: relaxed

Results
distance to the lowest polymorph of the same formula	0.0	meV/atom
uncorrected formation energy	284	meV per atom

Cell lengths 5.188, 5.188, 5.188 Å; angles 60.00, 60.00, 60.00 degrees
Last column: magnetic moment on the atom in μB.
Element x y z (fractional)
1 Cr 0.500 0.500 0.500  3.82
2 Bi 0.250 0.250 0.250  -0.02
3 Bi 0.750 0.750 0.750  -0.02
4 Cl 0.000 0.000 0.000  0.04

Compound: Cr3BiCl
Source: the Alexandria database
Functional: PBE
Structure: relaxed

Results
distance to the lowest polymorph of the same formula	0.0	meV/atom
uncorrected formation energy	886	meV per atom

Cell lengths 4.308, 4.308, 4.308 Å; angles 90.00, 90.00, 90.00 degrees
Last column: magnetic moment on the atom in μB.
Element x y z (fractional)
1 Cr 0.000 0.500 0.000  1.05
2 Cr 0.000 0.000 0.500  1.29
3 Cr 0.500 0.000 0.000  1.21
4 Bi 0.500 0.500 0.500  -0.09
5 Cl 0.000 0.000 0.000  -0.04

Compound: CrBi2Cl2
Source: the Alexandria database
Functional: PBE
Structure: relaxed

Results
distance to the lowest polymorph of the same formula	0.0	meV/atom
uncorrected formation energy	-109	meV per atom

Cell lengths 7.460, 7.460, 5.447 Å; angles 90.00, 90.00, 90.00 degrees
Last column: magnetic moment on the atom in μB.
Element x y z (fractional)
1 Cr 0.000 0.000 0.000  3.69
2 Cr 0.500 0.500 0.000  3.69
3 Bi 0.149 0.649 0.000  -0.09
4 Bi 0.649 0.851 0.000  -0.09
5 Bi 0.851 0.351 0.000  -0.09
6 Bi 0.351 0.149 0.000  -0.09
7 Cl 0.195 0.695 0.500  0.02
8 Cl 0.695 0.805 0.500  0.02
9 Cl 0.805 0.305 0.500  0.02
10 Cl 0.305 0.195 0.500  0.02

Compound: Cr3BiCl
Source: the Alexandria database
Functional: PBE
Structure: relaxed

Results
distance to the lowest polymorph of the same formula	152.0	meV/atom
uncorrected formation energy	1038	meV per atom

Cell lengths 5.399, 5.399, 5.399 Å; angles 90.00, 90.00, 90.00 degrees
Last column: magnetic moment on the atom in μB.
Element x y z (fractional)
1 Cr 0.000 0.500 0.000  4.08
2 Cr 0.000 0.000 0.500  4.18
3 Cr 0.500 0.000 0.000  3.97
4 Bi 0.000 0.000 0.000  -0.18
5 Cl 0.500 0.500 0.500  0.11

Compound: CrBi2Cl
Source: the Alexandria database
Functional: PBE
Structure: relaxed

Results
distance to the lowest polymorph of the same formula	97.0	meV/atom
uncorrected formation energy	381	meV per atom

Cell lengths 5.684, 5.684, 9.215 Å; angles 72.04, 72.04, 90.00 degrees
Last column: magnetic moment on the atom in μB.
Element x y z (fractional)
1 Cr 0.000 0.000 0.000  3.27
2 Cr 0.750 0.250 0.500  3.27
3 Bi 0.690 0.125 0.250  -0.30
4 Bi 0.060 0.625 0.250  -0.30
5 Bi 0.375 0.310 0.750  -0.25
6 Bi 0.875 0.940 0.750  -0.25
7 Cl 0.500 0.500 0.000  -0.06
8 Cl 0.250 0.750 0.500  -0.06

Compound: CsCr2BiCl8
Source: the Alexandria database
Functional: PBE
Structure: relaxed

Results
uncorrected formation energy	-1112	meV per atom

Cell lengths 6.174, 7.344, 10.393 Å; angles 101.52, 101.93, 60.20 degrees
Last column: magnetic moment on the atom in μB.
Element x y z (fractional)
1 Cs 0.000 0.000 0.500  0.00
2 Cr 0.455 0.487 0.805  3.59
3 Cr 0.545 0.513 0.195  3.59
4 Bi 0.000 0.000 0.000  0.04
5 Cl 0.095 0.717 0.169  -0.02
6 Cl 0.506 0.744 0.979  0.00
7 Cl 0.986 0.278 0.223  -0.01
8 Cl 0.905 0.283 0.831  -0.02
9 Cl 0.494 0.256 0.021  0.00
10 Cl 0.014 0.722 0.777  -0.01
11 Cl 0.590 0.727 0.380  -0.01
12 Cl 0.410 0.273 0.620  -0.01

Compound: Cs2CrBiCl6
Source: the Alexandria database
Functional: PBE
Structure: relaxed

Results
uncorrected formation energy	-1314	meV per atom

Cell lengths 7.599, 7.599, 7.613 Å; angles 60.06, 60.06, 90.00 degrees
Last column: magnetic moment on the atom in μB.
Element x y z (fractional)
1 Cs 0.750 0.250 0.500  0.00
2 Cs 0.250 0.750 0.500  0.00
3 Cr 0.500 0.500 0.000  3.90
4 Bi 0.000 0.000 0.000  0.45
5 Cl 0.262 0.262 0.476  0.00
6 Cl 0.738 0.738 0.524  0.00
7 Cl 0.263 0.263 0.000  0.00
8 Cl 0.737 0.737 0.000  0.00
9 Cl 0.737 0.263 0.000  0.00
10 Cl 0.263 0.737 0.000  0.00

Compound: CrHgBiCl2
Source: the Alexandria database
Functional: PBE
Structure: relaxed

Results
distance to the lowest polymorph of the same formula	0.0	meV/atom
uncorrected formation energy	15	meV per atom

Cell lengths 5.497, 5.679, 5.497 Å; angles 90.00, 90.00, 90.00 degrees
Last column: magnetic moment on the atom in μB.
Element x y z (fractional)
1 Cr 0.000 0.500 0.000  4.18
2 Cl 0.000 0.000 0.500  0.03
3 Cl 0.500 0.000 0.000  0.02
4 Bi 0.000 0.000 0.000  -0.03
5 Hg 0.500 0.500 0.500  0.01

Compound: CrHgBiCl2
Source: the Alexandria database
Functional: PBE
Structure: relaxed

Results
distance to the lowest polymorph of the same formula	447.2	meV/atom
uncorrected formation energy	463	meV per atom

Cell lengths 5.062, 6.188, 5.062 Å; angles 90.00, 90.00, 90.00 degrees
Last column: magnetic moment on the atom in μB.
Element x y z (fractional)
1 Cr 0.500 0.500 0.500  4.17
2 Cl 0.000 0.000 0.500  -0.02
3 Cl 0.500 0.000 0.000  -0.03
4 Bi 0.000 0.500 0.000  -0.47
5 Hg 0.000 0.000 0.000  -0.02

Compound: NaCrBiCl6
Source: the Alexandria database
Functional: PBE
Structure: relaxed

Results
uncorrected formation energy	-1134	meV per atom

Cell lengths 6.794, 6.794, 12.409 Å; angles 90.00, 90.00, 120.00 degrees
Last column: magnetic moment on the atom in μB.
Element x y z (fractional)
1 Na 0.000 0.000 0.000  0.00
2 Na 0.000 0.000 0.500  0.00
3 Cr 0.333 0.667 0.250  3.59
4 Cr 0.667 0.333 0.750  3.59
5 Bi 0.667 0.333 0.250  0.04
6 Bi 0.333 0.667 0.750  0.04
7 Cl 0.630 0.656 0.133  0.00
8 Cl 0.026 0.370 0.133  0.00
9 Cl 0.370 0.026 0.633  0.00
10 Cl 0.974 0.630 0.867  0.00
11 Cl 0.344 0.370 0.367  0.00
12 Cl 0.026 0.656 0.367  0.00
13 Cl 0.656 0.026 0.867  0.00
14 Cl 0.630 0.974 0.367  0.00
15 Cl 0.974 0.344 0.633  0.00
16 Cl 0.344 0.974 0.133  0.00
17 Cl 0.656 0.630 0.633  0.00
18 Cl 0.370 0.344 0.867  0.00

Compound: Na2CrBiCl
Source: the Alexandria database
Functional: PBE
Structure: relaxed

Results
uncorrected formation energy	154	meV per atom

Cell lengths 5.168, 4.434, 5.168 Å; angles 90.00, 90.00, 90.00 degrees
Last column: magnetic moment on the atom in μB.
Element x y z (fractional)
1 Cr 0.000 0.500 0.000  -0.12
2 Na 0.000 0.000 0.500  0.00
3 Na 0.500 0.000 0.000  0.00
4 Bi 0.500 0.500 0.500  0.03
5 Cl 0.000 0.000 0.000  0.00

The calculated total energy results, record by record, are as follows: -19.40; -16.70; -17.56; -32.09; -44.27; -18.85; -18.66; -18.10; -30.17; -43.24; -29.41; -35.42; -52.10; -39.44; -17.42; -15.19; -72.22; -17.22 eV/cell.